[1]
Computed, not measured: a relaxed PrSi4Pt12 crystal at the PBE level of DFT.

Properties
As for the density of states at the Fermi level: 7.89 states/eV/cell. The formation energy without anion corrections comes out at -0.47 eV/atom. The value obtained for the total energy is -213.8 eV for the cell shown.

Unit cell a=8.432 b=8.432 c=8.432 alpha=90.00 beta=90.00 gamma=90.00
Space group Im-3 (No. 204)
One atom of each set of equivalent atoms:
Pr1 0.000 0.000 0.000 (multiplicity 2)
Si1 0.250 0.250 0.250 (multiplicity 8)
Pt1 0.000 0.342 0.163 (multiplicity 24)



[2]
Computed, not measured: a relaxed ZrZn2Ru crystal at the PBE level of DFT.

Properties
The calculation puts the energy of formation from the pure elements at -241 meV/atom. As for the density of states at the Fermi level: 2.00 states/eV/cell. The value obtained for the total energy is -21.3 eV for the cell shown.

Unit cell a=3.669 b=3.975 c=4.439 alpha=90.00 beta=90.00 gamma=90.00
Space group Pmmm (No. 47)
One atom of each set of equivalent atoms:
Zr1 0.000 0.000 0.000 (multiplicity 1)
Zn1 0.000 0.500 0.500 (multiplicity 1)
Zn2 0.500 0.000 0.500 (multiplicity 1)
Ru1 0.500 0.500 0.000 (multiplicity 1)